ZnMo2 | PBE | relaxed

Unit cell a=7.1946 b=7.1946 c=3.0817 alpha=90.00 beta=90.00 gamma=120.00
Sites, in units of the cell vectors:
Zn 0.0000 0.0000 0.0000
Zn 0.3333 0.6667 0.5000
Zn 0.6667 0.3333 0.5000
Mo 0.0000 0.2789 0.5000
Mo 0.0000 0.6243 0.0000
Mo 0.2789 0.0000 0.5000
Mo 0.3757 0.3757 0.0000
Mo 0.6243 0.0000 0.0000
Mo 0.7211 0.7211 0.5000

Output
Total magnetization = 0.00 μB/cell
E = -7.335 eV/atom
ΔE to the lowest computed polymorph = 0.241 eV per atom
Energy relative to the elements = 310 meV per atom

***

ZnMo4 | PBE | relaxed

Unit cell a=4.5051 b=4.5051 c=4.5051 alpha=90.00 beta=90.00 gamma=90.00
Sites, in units of the cell vectors:
Zn 0.0000 0.0000 0.0000
Mo 0.0000 0.0000 0.5000
Mo 0.0000 0.5000 0.0000
Mo 0.5000 0.0000 0.0000
Mo 0.5000 0.5000 0.5000

Output
Total magnetization = 0.00 μB/cell
E = -7.142 eV/atom
ΔE to the lowest computed polymorph = 1.547 eV per atom
Energy relative to the elements = 1777 meV per atom

***

ZnMo2 | PBE | relaxed

Unit cell a=5.9567 b=5.9567 c=5.9567 alpha=90.00 beta=90.00 gamma=90.00
Sites, in units of the cell vectors:
Zn 0.0000 0.0000 0.0000
Zn 0.0000 0.5000 0.5000
Zn 0.5000 0.0000 0.5000
Zn 0.5000 0.5000 0.0000
Mo 0.1133 0.6133 0.8867
Mo 0.1133 0.8867 0.3867
Mo 0.3867 0.1133 0.8867
Mo 0.3867 0.3867 0.3867
Mo 0.6133 0.6133 0.6133
Mo 0.6133 0.8867 0.1133
Mo 0.8867 0.1133 0.6133
Mo 0.8867 0.3867 0.1133

Output
Total magnetization = 0.00 μB/cell
E = -6.620 eV/atom
ΔE to the lowest computed polymorph = 0.956 eV per atom
Energy relative to the elements = 1026 meV per atom

***

Zn3Mo4 | PBE | relaxed

Unit cell a=4.9139 b=4.9139 c=4.9516 alpha=90.00 beta=90.00 gamma=120.00
Sites, in units of the cell vectors:
Zn 0.0000 0.5000 0.0000
Zn 0.5000 0.0000 0.0000
Zn 0.5000 0.5000 0.0000
Mo 0.0000 0.0000 0.2602
Mo 0.0000 0.0000 0.7398
Mo 0.3333 0.6667 0.5000
Mo 0.6667 0.3333 0.5000

Output
Total magnetization = 0.00 μB/cell
E = -6.620 eV/atom
ΔE to the lowest computed polymorph = 0.000 eV per atom
Energy relative to the elements = 115 meV per atom

***

Zn3Mo | PBE | relaxed

Unit cell a=2.6888 b=2.6888 c=8.2271 alpha=90.00 beta=90.00 gamma=90.00
Sites, in units of the cell vectors:
Zn 0.0000 0.0000 0.0000
Zn 0.5000 0.5000 0.2477
Zn 0.5000 0.5000 0.7523
Mo 0.0000 0.0000 0.5000

Output
Total magnetization = 0.00 μB/cell
E = -3.583 eV/atom
Energy relative to the elements = 80 meV per atom

***

Zn2Mo3 | PBE | relaxed

Unit cell a=7.1626 b=5.2888 c=8.2188 alpha=59.43 beta=39.48 gamma=81.10
Sites, in units of the cell vectors:
Zn 0.2700 0.7300 0.3259
Zn 0.5759 0.9241 0.5200
Zn 0.7300 0.2700 0.6741
Zn 0.9241 0.5759 0.9800
Mo 0.1228 0.8416 0.0806
Mo 0.1694 0.2950 0.1272
Mo 0.2950 0.1694 0.4084
Mo 0.4302 0.4302 0.5698
Mo 0.6802 0.6802 0.8198
Mo 0.8416 0.1228 0.9550

Output
Total magnetization = 0.00 μB/cell
E = -6.739 eV/atom
Energy relative to the elements = 269 meV per atom

***

Zn3Mo | PBE | relaxed

Unit cell a=5.4369 b=5.4369 c=4.5635 alpha=90.00 beta=90.00 gamma=120.00
Sites, in units of the cell vectors:
Zn 0.1673 0.3347 0.2500
Zn 0.1673 0.8327 0.2500
Zn 0.3347 0.1673 0.7500
Zn 0.6653 0.8327 0.2500
Zn 0.8327 0.1673 0.7500
Zn 0.8327 0.6653 0.7500
Mo 0.3333 0.6667 0.7500
Mo 0.6667 0.3333 0.2500

Output
Total magnetization = 0.00 μB/cell
E = -3.565 eV/atom
Energy relative to the elements = 99 meV per atom

***

Zn3Mo | PBE | relaxed

Unit cell a=4.9571 b=4.9571 c=4.9571 alpha=90.00 beta=90.00 gamma=90.00
Sites, in units of the cell vectors:
Zn 0.0000 0.2500 0.5000
Zn 0.0000 0.7500 0.5000
Zn 0.2500 0.5000 0.0000
Zn 0.5000 0.0000 0.2500
Zn 0.5000 0.0000 0.7500
Zn 0.7500 0.5000 0.0000
Mo 0.0000 0.0000 0.0000
Mo 0.5000 0.5000 0.5000

Output
Total magnetization = 0.00 μB/cell
E = -3.270 eV/atom
Energy relative to the elements = 393 meV per atom

***

ZrZnMo2 | PBE | relaxed

Unit cell a=9.9075 b=9.9075 c=9.9075 alpha=16.58 beta=16.58 gamma=16.58
Sites, in units of the cell vectors:
Zr 0.0000 0.0000 0.0000
Zn 0.5000 0.5000 0.5000
Mo 0.2438 0.2438 0.2438
Mo 0.7562 0.7562 0.7562

Output
Total magnetization = 0.00 μB/cell
E = -7.502 eV/atom
Energy relative to the elements = 370 meV per atom

***

Zr2ZnMo | PBE | relaxed

Unit cell a=8.6903 b=8.6903 c=8.6903 alpha=21.89 beta=21.89 gamma=21.89
Sites, in units of the cell vectors:
Zr 0.2462 0.2462 0.2462
Zr 0.7538 0.7538 0.7538
Zn 0.0000 0.0000 0.0000
Mo 0.5000 0.5000 0.5000

Output
Total magnetization = 0.00 μB/cell
E = -7.236 eV/atom
Energy relative to the elements = 64 meV per atom

***

Zr2ZnMo | PBE | relaxed

Unit cell a=3.4171 b=3.4171 c=6.4691 alpha=90.00 beta=90.00 gamma=90.00
Sites, in units of the cell vectors:
Zr 0.0000 0.0000 0.2417
Zr 0.0000 0.0000 0.7583
Zn 0.5000 0.5000 0.5000
Mo 0.5000 0.5000 0.0000

Output
Total magnetization = 0.00 μB/cell
E = -7.476 eV/atom
Energy relative to the elements = -176 meV per atom

***

ZrZnMo | PBE | relaxed

Unit cell a=4.8102 b=4.8102 c=2.6342 alpha=90.00 beta=90.00 gamma=120.00
Sites, in units of the cell vectors:
Zr 0.0000 0.0000 0.0000
Zn 0.6667 0.3333 0.6104
Mo 0.3333 0.6667 0.3712

Output
Total magnetization = 0.00 μB/cell
E = -6.781 eV/atom
ΔE to the lowest computed polymorph = 0.255 eV per atom
Energy relative to the elements = 103 meV per atom